Material: Nb2P
Method: DFT, GGA-PBE
State: optimized geometry

Cell and atoms, written as extended XYZ:
```
6
Lattice="0.000 3.780 3.780 3.780 0.000 3.780 3.780 3.780 0.000" Properties=species:S:1:pos:R:3 pbc="T T T"
Nb 2.835 2.835 4.725
Nb 2.835 4.725 2.835
Nb 4.725 2.835 2.835
Nb 4.725 4.725 4.725
P 0.000 0.000 0.000
P 1.890 1.890 1.890
```

Properties
- Size of the total moment: 0.0 μB/cell
- Symmetry: Fd-3m, No. 227
- E: -48.20 eV/cell
- Mass density: 6.66 g/cm³